A relaxed HoEr5Mg6 crystal, computed with PBE-GGA.

Structure (POSCAR):
```
HoEr5Mg6
1.0
-2.672 2.690 3.763
-6.427 -2.997 -2.421
-0.385 -4.787 6.948
Er Ho Mg
5 1 6
direct
0.665 0.500 0.667
0.334 0.000 0.333
0.335 0.500 0.333
0.000 0.500 0.000
0.666 0.000 0.667
0.000 0.000 0.000
0.834 0.750 0.334
0.166 0.250 0.666
0.834 0.250 0.334
0.500 0.750 0.000
0.500 0.250 0.000
0.166 0.750 0.666
```

V: 26.722 A^3/atom
Density: 5.94 g/cm³
Energy of formation from the pure elements: -0.0683 eV per atom